(1)
Entry from Alexandria: a relaxed ScTa2Cl crystal (GGA-PBE).

a b c (Å): 5.2997 3.8215 3.8215
angles (deg): 90.00 90.00 90.00
Fractional positions:
Cl (0.5000, 0.5000, 0.0000)
Sc (0.5000, 0.0000, 0.5000)
Ta (0.0000, 0.0000, 0.0000)
Ta (0.0000, 0.5000, 0.5000)

Properties
**Crystal system**: tetragonal
**Formation energy (no corrections)**: 0.3678 eV/atom



(2)
Entry from Alexandria: a relaxed OsRh2Cl crystal (GGA-PBE).

a b c (Å): 3.5979 3.5979 7.8309
angles (deg): 73.32 73.32 45.67
Fractional positions:
Os (0.2500, 0.2500, 0.2500)
Rh (0.0549, 0.0549, 0.0331)
Rh (0.4451, 0.4451, 0.4669)
Cl (0.7500, 0.7500, 0.7500)

Properties
**Crystal system**: monoclinic
**Formation energy (no corrections)**: 0.4238 eV/atom



(3)
Entry from Alexandria: a relaxed MgScAg3 crystal (GGA-PBE).

a b c (Å): 4.7937 6.3179 6.9827
angles (deg): 90.00 69.60 90.00
Fractional positions:
Ag (0.9947, 0.7500, 0.5071)
Ag (0.0053, 0.2500, 0.4929)
Mg (0.6388, 0.2500, 0.2224)
Sc (0.6217, 0.7500, 0.2553)
Ag (0.1833, 0.5009, 0.1320)
Ag (0.8167, 0.4991, 0.8680)
Mg (0.3612, 0.7500, 0.7776)
Ag (0.1833, 0.9991, 0.1320)
Sc (0.3783, 0.2500, 0.7447)
Ag (0.8167, 0.0009, 0.8680)

Properties
**Crystal system**: monoclinic
**Energy of formation from the pure elements**: -11.3 kJ/mol of atoms



(4)
Entry from Alexandria: a relaxed FeHg2Ir crystal (GGA-PBE).

a b c (Å): 2.9932 4.0333 5.7174
angles (deg): 90.00 90.00 90.00
Fractional positions:
Hg (0.0000, 0.0000, 0.5020)
Hg (0.0000, 0.0000, 0.9980)
Ir (0.5000, 0.5000, 0.2500)
Fe (0.5000, 0.5000, 0.7500)

Properties
**Crystal system**: orthorhombic
**Energy of formation from the pure elements**: 51.1 kJ/mol of atoms